--- P ---
A PBEsol-optimized structure of WC. Source: Alexandria, functional meta-GGA SCAN.

Summary:
The value obtained for the density of states at the Fermi level is 0.8 states/eV/cell.

abc: 5.1836 5.1836 2.8371
angles: 90.00 90.00 120.00
Last column: nearest neighbours and their distance in Å.
Atoms (fractional coordinates):
W1 0.0000 0.0000 0.0000  3 C 2.02
W2 0.3333 0.6667 0.5000  6 C 2.14
W3 0.6667 0.3333 0.5000  6 C 2.14
C1 0.0000 0.3889 0.0000  5 W 2.02-2.14
C2 0.3889 0.0000 0.0000  5 W 2.02-2.14
C3 0.6111 0.6111 0.0000  5 W 2.02-2.14

---

--- Q ---
A PBEsol-optimized structure of WC. Source: Alexandria, functional meta-GGA SCAN.

Summary:
The value obtained for the density of states at the Fermi level is 1.8 states/eV/cell.

abc: 5.3088 5.3088 5.3088
angles: 34.20 34.20 34.20
Last column: nearest neighbours and their distance in Å.
Atoms (fractional coordinates):
W1 0.0932 0.0932 0.0932  6 C 2.24-2.32
W2 0.9068 0.9068 0.9068  6 C 2.24-2.32
C1 0.3288 0.3288 0.3288  3 C 1.81
C2 0.6712 0.6712 0.6712  3 C 1.81

---

Stability verdict: P, ahead by 1.390 eV/atom

---

--- P ---
A PBEsol-optimized structure of WC3. Source: Alexandria, functional meta-GGA SCAN.

Summary:
The value obtained for the density of states at the Fermi level is 1.2 states/eV/cell.

abc: 5.4221 5.4221 5.4221
angles: 28.63 28.63 28.63
Last column: nearest neighbours and their distance in Å.
Atoms (fractional coordinates):
W1 0.0000 0.0000 0.0000  6 C 2.22
C1 0.2313 0.2313 0.2313  3 C 1.85
C2 0.5000 0.5000 0.5000  6 C 1.85
C3 0.7687 0.7687 0.7687  3 C 1.85

---

--- Q ---
A PBEsol-optimized structure of WC3. Source: Alexandria, functional meta-GGA SCAN.

Summary:
The value obtained for the density of states at the Fermi level is 2.6 states/eV/cell.

abc: 4.4169 4.4169 4.2721
angles: 90.00 90.00 120.00
Last column: nearest neighbours and their distance in Å.
Atoms (fractional coordinates):
W1 0.3333 0.6667 0.2500  12 C 2.24-2.31
W2 0.6667 0.3333 0.7500  12 C 2.24-2.31
C1 0.2171 0.4342 0.7500  2 C 1.54
C2 0.2171 0.7829 0.7500  2 C 1.54
C3 0.4342 0.2171 0.2500  2 C 1.54
C4 0.5658 0.7829 0.7500  2 C 1.54
C5 0.7829 0.2171 0.2500  2 C 1.54
C6 0.7829 0.5658 0.2500  2 C 1.54

---

Stability verdict: Q, ahead by 0.324 eV/atom

---

--- P ---
A PBEsol-optimized structure of YC2. Source: Alexandria, functional meta-GGA SCAN.

Summary:
The value obtained for the density of states at the Fermi level is 4.2 states/eV/cell.

abc: 4.1296 4.1296 5.0059
angles: 90.00 90.00 120.00
Last column: nearest neighbours and their distance in Å.
Atoms (fractional coordinates):
Y1 0.3333 0.6667 0.2500  5 C 2.38-2.50
Y2 0.6667 0.3333 0.7500  5 C 2.38-2.50
C1 0.0000 0.0000 0.0000  8 C 2.50-2.69, 6 Y 2.69
C2 0.0000 0.0000 0.5000  8 C 2.50-2.69, 6 Y 2.69
C3 0.3333 0.6667 0.7500  5 Y 2.38-2.50
C4 0.6667 0.3333 0.2500  5 Y 2.38-2.50

---

--- Q ---
A PBEsol-optimized structure of YC2. Source: Alexandria, functional meta-GGA SCAN.

Summary:
The value obtained for the density of states at the Fermi level is 1.4 states/eV/cell.

abc: 7.5277 7.5277 3.1572
angles: 90.00 90.00 157.99
Last column: nearest neighbours and their distance in Å.
Atoms (fractional coordinates):
Y1 0.1295 0.8705 0.0000  10 C 2.39-2.65
Y2 0.8705 0.1295 0.0000  10 C 2.39-2.65
C1 0.0000 0.0000 0.5000  4 C 2.13
C2 0.2734 0.7266 0.5000  2 C 1.60
C3 0.5000 0.5000 0.0000  4 C 2.13
C4 0.7266 0.2734 0.5000  2 C 1.60

---

--- R ---
A PBEsol-optimized structure of YC2. Source: Alexandria, functional meta-GGA SCAN.

Summary:
The value obtained for the density of states at the Fermi level is 0.7 states/eV/cell.

abc: 3.9327 3.9327 3.6242
angles: 114.92 114.92 54.89
Last column: nearest neighbours and their distance in Å.
Atoms (fractional coordinates):
Y1 0.0000 0.0000 0.0000  10 C 2.42-2.67
C1 0.3942 0.3942 0.3914  1 C 1.30
C2 0.6058 0.6058 0.6086  1 C 1.30

---

--- S ---
A PBEsol-optimized structure of YC2. Source: Alexandria, functional meta-GGA SCAN.

Summary:
The value obtained for the density of states at the Fermi level is 1.1 states/eV/cell.

abc: 4.6053 4.6053 4.6053
angles: 144.90 144.90 50.49
Last column: nearest neighbours and their distance in Å.
Atoms (fractional coordinates):
Y1 0.0000 0.0000 0.0000  2 C 2.36
C1 0.2836 0.2836 0.0000  4 C 2.04
C2 0.7164 0.7164 0.0000  4 C 2.04

---

Stability verdict: R, ahead by 1.027 eV/atom

---

--- P ---
A PBEsol-optimized structure of Y3C2. Source: Alexandria, functional meta-GGA SCAN.

Summary:
The value obtained for the density of states at the Fermi level is 1.3 states/eV/cell.

abc: 9.5050 9.5050 9.5050
angles: 21.73 21.73 21.73
Last column: nearest neighbours and their distance in Å.
Atoms (fractional coordinates):
Y1 0.0000 0.0000 0.0000  6 C 2.60
Y2 0.2356 0.2356 0.2356  3 C 2.36
Y3 0.7644 0.7644 0.7644  3 C 2.36
C1 0.3901 0.3901 0.3901  6 Y 2.36-2.60
C2 0.6099 0.6099 0.6099  6 Y 2.36-2.60

---

--- Q ---
A PBEsol-optimized structure of Y3C2. Source: Alexandria, functional meta-GGA SCAN.

Summary:
The value obtained for the density of states at the Fermi level is 1.7 states/eV/cell.

abc: 3.5867 3.5867 9.1432
angles: 90.00 90.00 120.00
Last column: nearest neighbours and their distance in Å.
Atoms (fractional coordinates):
Y1 0.0000 0.0000 0.0000  6 C 2.60
Y2 0.3333 0.6667 0.2973  3 C 2.36
Y3 0.6667 0.3333 0.7027  3 C 2.36
C1 0.3333 0.6667 0.8274  6 Y 2.36-2.60
C2 0.6667 0.3333 0.1726  6 Y 2.36-2.60

---

Stability verdict: Q, ahead by 0.008 eV/atom

---

--- P ---
A PBEsol-optimized structure of Y5C. Source: Alexandria, functional meta-GGA SCAN.

Summary:
The value obtained for the density of states at the Fermi level is 5.6 states/eV/cell.

abc: 3.2681 3.2681 13.8727
angles: 90.00 90.00 90.00
Last column: nearest neighbours and their distance in Å.
Atoms (fractional coordinates):
Y1 0.0000 0.0000 0.0000  12 Y 3.27-3.53
Y2 0.0000 0.0000 0.4045  1 Y 2.65, 4 C 2.66
Y3 0.0000 0.0000 0.5955  1 Y 2.65, 4 C 2.66
Y4 0.5000 0.5000 0.1926  8 Y 3.27-3.53
Y5 0.5000 0.5000 0.8074  8 Y 3.27-3.53
C1 0.5000 0.5000 0.5000  8 Y 2.66

---

--- Q ---
A PBEsol-optimized structure of Y5C. Source: Alexandria, functional meta-GGA SCAN.

Summary:
The value obtained for the density of states at the Fermi level is 4.8 states/eV/cell.

abc: 4.8518 8.8626 8.8626
angles: 25.26 90.00 90.00
Last column: nearest neighbours and their distance in Å.
Atoms (fractional coordinates):
Y1 0.0000 0.0000 0.0000  2 C 2.36
Y2 0.0000 0.3140 0.3140  6 Y 3.18-3.44
Y3 0.5000 0.1727 0.1727  4 Y 3.13-3.44
Y4 0.5000 0.5303 0.5303  2 C 2.56
Y5 0.5000 0.8540 0.8540  6 Y 3.18-3.50
C1 0.0000 0.5774 0.5774  4 Y 2.36-2.56

---

Stability verdict: P, ahead by 0.282 eV/atom

---

--- P ---
A PBEsol-optimized structure of Y3C. Source: Alexandria, functional meta-GGA SCAN.

Summary:
The value obtained for the density of states at the Fermi level is 3.2 states/eV/cell.

abc: 6.3744 6.3744 6.3744
angles: 147.72 134.19 57.15
Last column: nearest neighbours and their distance in Å.
Atoms (fractional coordinates):
Y1 0.0000 0.0000 0.0000  2 C 2.48
Y2 0.3500 0.3500 0.0000  2 C 2.44
Y3 0.6500 0.6500 0.0000  2 C 2.44
C1 0.5000 0.0000 0.5000  6 Y 2.44-2.48

---

--- Q ---
A PBEsol-optimized structure of Y3C. Source: Alexandria, functional meta-GGA SCAN.

Summary:
The value obtained for the density of states at the Fermi level is 2.9 states/eV/cell.

abc: 9.2649 9.2649 9.2649
angles: 22.02 22.02 22.02
Last column: nearest neighbours and their distance in Å.
Atoms (fractional coordinates):
Y1 0.0000 0.0000 0.0000  12 Y 3.54-3.77
Y2 0.2162 0.2162 0.2162  3 C 2.45
Y3 0.7838 0.7838 0.7838  3 C 2.45
C1 0.5000 0.5000 0.5000  6 Y 2.45

---

Stability verdict: P, ahead by 0.007 eV/atom